(1)
A relaxed Ac3Si2GeRh9 crystal, computed with PBE.

a b c (Å): 6.526 6.526 7.975
angles (deg): 90.00 90.00 120.00
Fractional positions:
Si1 0.667 0.333 0.840
Si2 0.333 0.667 0.160
Ac1 0.000 0.000 0.000
Rh1 0.656 0.828 0.331
Rh2 0.000 0.500 0.000
Ac2 0.667 0.333 0.334
Rh3 0.828 0.172 0.669
Rh4 0.500 0.000 0.000
Rh5 0.172 0.344 0.331
Rh6 0.172 0.828 0.331
Rh7 0.500 0.500 0.000
Rh8 0.828 0.656 0.669
Ge1 0.000 0.000 0.500
Ac3 0.333 0.667 0.666
Rh9 0.344 0.172 0.669

## Properties
Energy relative to the elements, uncorrected   -0.62 eV/atom
DOS(E_F)   0.125 states/eV/atom

=====

(2)
A relaxed Ba2NaPaTe5 crystal, computed with PBE.

a b c (Å): 4.687 10.219 15.295
angles (deg): 90.00 90.00 103.26
Fractional positions:
Te1 0.920 0.840 0.570
Te2 0.494 0.988 0.768
Ba1 0.130 0.259 0.302
Na1 0.455 0.910 0.451
Na2 0.545 0.090 0.951
Te3 0.295 0.589 0.398
Te4 0.080 0.160 0.070
Te5 0.705 0.411 0.898
Ba2 0.085 0.170 0.660
Pa1 0.778 0.557 0.525
Te6 0.506 0.012 0.268
Pa2 0.222 0.443 0.025
Te7 0.735 0.471 0.159
Ba3 0.870 0.741 0.802
Ba4 0.915 0.830 0.160
Te8 0.265 0.529 0.659
Te9 0.630 0.259 0.492
Te10 0.370 0.741 0.992

## Properties
Energy relative to the elements, uncorrected   -1.23 eV/atom

=====

(3)
A relaxed Pa2AlPt3 crystal, computed with PBE.

a b c (Å): 5.606 5.606 8.544
angles (deg): 102.61 102.61 109.55
Fractional positions:
Pa1 0.250 0.750 0.500
Al1 0.334 0.334 0.669
Pa2 0.228 0.228 0.000
Pt1 0.179 0.646 0.825
Pt2 0.354 0.821 0.175
Pt3 0.821 0.354 0.175
Pa3 0.750 0.250 0.500
Pa4 0.772 0.772 0.000
Al2 0.666 0.666 0.331
Pt4 0.174 0.174 0.349
Pt5 0.646 0.179 0.825
Pt6 0.826 0.826 0.651

## Properties
ΔE_f   -0.97 eV/atom
DOS(E_F)   0.875 states/eV/atom

=====

(4)
A relaxed Ga2SnCl8 crystal, computed with PBE.

a b c (Å): 6.459 8.011 8.011
angles (deg): 71.88 82.44 82.44
Fractional positions:
Cl1 0.310 0.812 0.812
Sn1 0.000 0.000 0.000
Cl2 0.243 0.928 0.298
Cl3 0.690 0.188 0.188
Ga1 0.341 0.202 0.202
Cl4 0.797 0.636 0.636
Cl5 0.757 0.702 0.072
Cl6 0.757 0.072 0.702
Ga2 0.659 0.798 0.798
Cl7 0.243 0.298 0.928
Cl8 0.203 0.364 0.364

## Properties
ΔE to the lowest computed polymorph   11 meV per atom
Energy relative to the elements, uncorrected   -1.10 eV/atom
DOS(E_F)   0.000 states/eV/atom

=====

(5)
A relaxed Er3HgRh8 crystal, computed with PBE.

a b c (Å): 5.285 5.285 9.205
angles (deg): 73.32 73.32 60.00
Fractional positions:
Er1 0.376 0.376 0.873
Rh1 0.938 0.938 0.689
Hg1 0.873 0.873 0.381
Er2 0.505 0.505 0.485
Er3 0.995 0.995 0.016
Rh2 0.938 0.436 0.689
Rh3 0.939 0.438 0.185
Rh4 0.188 0.188 0.437
Rh5 0.438 0.438 0.185
Rh6 0.436 0.938 0.689
Rh7 0.688 0.688 0.937
Rh8 0.438 0.939 0.185

## Properties
ΔE_f   -0.57 eV/atom
DOS(E_F)   0.797 states/eV/atom

=====

(6)
A relaxed Ce4TeAs2S crystal, computed with PBE.

a b c (Å): 8.508 8.508 8.553
angles (deg): 120.17 120.17 90.02
Fractional positions:
Ce1 0.752 0.748 0.485
S1 0.000 0.500 0.000
As1 0.500 0.000 0.000
Ce2 0.254 0.738 0.996
S2 0.000 0.500 0.500
Te1 0.000 0.000 0.000
Ce3 0.762 0.246 0.504
As2 0.000 0.000 0.500
As3 0.500 0.500 0.000
Ce4 0.238 0.754 0.496
Ce5 0.248 0.252 0.515
Ce6 0.752 0.748 0.015
Ce7 0.746 0.262 0.004
As4 0.500 0.000 0.500
Ce8 0.248 0.252 0.985
Te2 0.500 0.500 0.500

## Properties
Energy relative to the elements, uncorrected   -1.54 eV/atom
DOS(E_F)   3.101 states/eV/atom

=====

(7)
A relaxed ZnCrPb crystal, computed with PBE.

a b c (Å): 4.569 4.569 3.458
angles (deg): 90.00 90.00 120.00
Fractional positions:
Pb1 0.333 0.667 0.354
Cr1 0.000 0.000 0.885
Zn1 0.667 0.333 0.760

## Properties
ΔE_f   0.47 eV/atom
ΔE to the lowest computed polymorph   40 meV per atom
DOS(E_F)   0.294 states/eV/atom

=====

(8)
A relaxed YRu2Se crystal, computed with PBE.

a b c (Å): 3.265 4.744 4.513
angles (deg): 90.00 90.00 90.00
Fractional positions:
Ru1 0.000 0.000 0.000
Ru2 0.500 0.500 0.000
Se1 0.500 0.000 0.500
Y1 0.000 0.500 0.500

## Properties
Energy relative to the elements, uncorrected   -0.05 eV/atom
DOS(E_F)   1.366 states/eV/atom

=====

(9)
A relaxed Te2Pd7 crystal, computed with PBE.

a b c (Å): 8.966 8.966 8.966
angles (deg): 60.06 60.06 60.06
Fractional positions:
Pd1 0.217 0.762 0.762
Te1 0.870 0.870 0.870
Pd2 0.245 0.245 0.245
Te2 0.000 0.500 0.500
Te3 0.500 0.500 0.500
Pd3 0.866 0.384 0.384
Pd4 0.134 0.616 0.616
Pd5 0.384 0.866 0.384
Te4 0.500 0.500 0.000
Pd6 0.238 0.238 0.783
Pd7 0.783 0.238 0.238
Pd8 0.135 0.135 0.613
Pd9 0.387 0.865 0.865
Te5 0.500 0.000 0.500
Pd10 0.755 0.755 0.755
Te6 0.130 0.130 0.130
Pd11 0.384 0.384 0.866
Pd12 0.616 0.134 0.616
Pd13 0.865 0.865 0.387
Pd14 0.000 0.000 0.000
Pd15 0.762 0.762 0.217
Pd16 0.238 0.783 0.238
Pd17 0.616 0.616 0.134
Pd18 0.865 0.387 0.865
Pd19 0.762 0.217 0.762
Pd20 0.135 0.613 0.135
Pd21 0.613 0.135 0.135

## Properties
Energy relative to the elements, uncorrected   -0.14 eV/atom
DOS(E_F)   0.631 states/eV/atom

=====

(10)
A relaxed YSb3Br crystal, computed with PBE.

a b c (Å): 5.783 5.783 5.783
angles (deg): 90.00 90.00 90.00
Fractional positions:
Sb1 0.500 0.000 0.000
Br1 0.500 0.500 0.500
Sb2 0.000 0.000 0.500
Sb3 0.000 0.500 0.000
Y1 0.000 0.000 0.000

## Properties
ΔE to the lowest computed polymorph   0 meV per atom
Energy relative to the elements, uncorrected   0.26 eV/atom
DOS(E_F)   0.746 states/eV/atom

=====

(11)
A relaxed PmHoCoSn crystal, computed with PBE.

a b c (Å): 5.142 5.142 5.142
angles (deg): 60.00 60.00 60.00
Fractional positions:
Pm1 0.000 0.000 0.000
Sn1 0.250 0.250 0.250
Co1 0.750 0.750 0.750
Ho1 0.500 0.500 0.500

## Properties
ΔE_f   -0.28 eV/atom
DOS(E_F)   0.646 states/eV/atom

=====

(12)
A relaxed AsWBr3 crystal, computed with PBE.

a b c (Å): 5.278 5.278 5.278
angles (deg): 90.00 90.00 90.00
Fractional positions:
W1 0.000 0.000 0.000
Br1 0.500 0.000 0.000
As1 0.500 0.500 0.500
Br2 0.000 0.000 0.500
Br3 0.000 0.500 0.000

## Properties
Energy relative to the elements, uncorrected   0.70 eV/atom
DOS(E_F)   0.512 states/eV/atom